(1)
# SmY4N4

A relaxed structure of SmY4N4 (GGA-PBE, Alexandria).

V	17.103	Å³/atom
energy relative to the elements, uncorrected	-1457	meV/atom
space group	I4/m
crystal system	tetragonal

abc: 6.108 6.108 6.108
angles: 99.37 99.37 132.41
Element x y z (fractional)
Sm1 0.000 0.000 0.000
Y1 0.186 0.610 0.796
Y2 0.390 0.186 0.576
Y3 0.610 0.814 0.424
Y4 0.814 0.390 0.204
N1 0.100 0.302 0.402
N2 0.302 0.900 0.202
N3 0.698 0.100 0.798
N4 0.900 0.698 0.598

(2)
# SmY2N3

A relaxed structure of SmY2N3 (GGA-PBE, Alexandria).

V	15.368	Å³/atom
energy relative to the elements, uncorrected	-1616	meV/atom
space group	C2/m
crystal system	monoclinic

abc: 6.090 6.090 6.090
angles: 99.59 99.59 120.00
Element x y z (fractional)
Sm1 0.167 0.833 0.000
Sm2 0.833 0.167 0.000
Y1 0.000 0.000 0.500
Y2 0.334 0.666 0.500
Y3 0.500 0.500 0.000
Y4 0.666 0.334 0.500
N1 0.086 0.415 0.746
N2 0.255 0.255 0.254
N3 0.415 0.086 0.746
N4 0.585 0.914 0.254
N5 0.745 0.745 0.746
N6 0.914 0.585 0.254

(3)
# SmY5N6

A relaxed structure of SmY5N6 (GGA-PBE, Alexandria).

V	15.124	Å³/atom
energy relative to the elements, uncorrected	-1654	meV/atom
space group	C2/m
crystal system	monoclinic

abc: 6.058 6.058 6.057
angles: 99.59 99.59 120.01
Element x y z (fractional)
Sm1 0.000 0.000 0.000
Y1 0.167 0.833 0.500
Y2 0.333 0.667 0.000
Y3 0.500 0.500 0.500
Y4 0.667 0.333 0.000
Y5 0.833 0.167 0.500
N1 0.084 0.421 0.252
N2 0.253 0.253 0.748
N3 0.421 0.084 0.252
N4 0.579 0.916 0.748
N5 0.747 0.747 0.252
N6 0.916 0.579 0.748